Record 1
The following is a DFT calculation (PBE with a Hubbard U) of a relaxed BeVSi2O6 crystal.

a b c (Å): 5.3042 6.7087 6.7087
angles (deg): 88.26 73.46 73.46
Each line ends with the local moment (μB).
Fractional coordinates of all 20 atoms:
1 O 0.8148 0.0267 0.2126  -0.01
2 Si 0.8215 0.6058 0.7785  0.01
3 V 0.7500 0.1086 0.8914  2.74
4 O 0.4338 0.3831 0.3172  0.00
5 O 0.9338 0.3172 0.3831  0.00
6 O 0.1852 0.9733 0.7874  -0.01
7 Si 0.3215 0.7785 0.6058  0.01
8 O 0.3148 0.2126 0.0267  -0.01
9 O 0.5563 0.1689 0.6339  0.00
10 O 0.9437 0.3661 0.8311  0.00
11 O 0.4437 0.8311 0.3661  0.00
12 Be 0.2500 0.2012 0.7988  0.00
13 V 0.2500 0.8914 0.1086  2.74
14 O 0.6852 0.7874 0.9733  -0.01
15 Si 0.1785 0.3942 0.2215  0.01
16 O 0.0662 0.6828 0.6169  0.00
17 O 0.0563 0.6339 0.1689  0.00
18 O 0.5662 0.6169 0.6828  0.00
19 Si 0.6785 0.2215 0.3942  0.01
20 Be 0.7500 0.7988 0.2012  0.00

Summary:
Crystal system = monoclinic
Calculated volume = 219 Å³/cell
Total DFT energy (no corrections) = -154.52 eV for the cell shown
D(E_F) = 0.00 states/eV per cell

Record 2
The following is a DFT calculation (PBE with a Hubbard U) of a relaxed BeVSiO2 crystal.

a b c (Å): 3.4352 5.0620 3.4352
angles (deg): 90.00 90.00 90.00
Each line ends with the local moment (μB).
Fractional coordinates of all 5 atoms:
1 V 0.5000 0.5000 0.5000  -2.40
2 O 0.0000 0.0000 0.5000  -0.09
3 Si 0.0000 0.0000 0.0000  0.02
4 O 0.5000 0.0000 0.0000  0.01
5 Be 0.0000 0.5000 0.0000  -0.01

Summary:
Crystal system = tetragonal
Calculated volume = 60 Å³/cell
Total DFT energy (no corrections) = -27.58 eV for the cell shown
D(E_F) = 2.68 states/eV per cell

- Which of these has the highest calculated volume?
  BeVSi2O6

What did the first record say?
The following is a DFT calculation (PBE with a Hubbard U) of a relaxed BeVSi2O6 crystal.

a b c (Å): 5.3042 6.7087 6.7087
angles (deg): 88.26 73.46 73.46
Each line ends with the local moment (μB).
Fractional coordinates of all 20 atoms:
1 O 0.8148 0.0267 0.2126  -0.01
2 Si 0.8215 0.6058 0.7785  0.01
3 V 0.7500 0.1086 0.8914  2.74
4 O 0.4338 0.3831 0.3172  0.00
5 O 0.9338 0.3172 0.3831  0.00
6 O 0.1852 0.9733 0.7874  -0.01
7 Si 0.3215 0.7785 0.6058  0.01
8 O 0.3148 0.2126 0.0267  -0.01
9 O 0.5563 0.1689 0.6339  0.00
10 O 0.9437 0.3661 0.8311  0.00
11 O 0.4437 0.8311 0.3661  0.00
12 Be 0.2500 0.2012 0.7988  0.00
13 V 0.2500 0.8914 0.1086  2.74
14 O 0.6852 0.7874 0.9733  -0.01
15 Si 0.1785 0.3942 0.2215  0.01
16 O 0.0662 0.6828 0.6169  0.00
17 O 0.0563 0.6339 0.1689  0.00
18 O 0.5662 0.6169 0.6828  0.00
19 Si 0.6785 0.2215 0.3942  0.01
20 Be 0.7500 0.7988 0.2012  0.00

Summary:
Crystal system = monoclinic
Calculated volume = 219 Å³/cell
Total DFT energy (no corrections) = -154.52 eV for the cell shown
D(E_F) = 0.00 states/eV per cell